1.
TaOs3 | GGA-PBE | optimized geometry

Properties
Its formation energy is -43.3 meV per atom.

```
TaOs3
1.0
-2.1303 1.3475 -1.2132
-1.8103 -4.0033 1.9575
-0.2974 2.9502 3.7990
Os Ta
3 1
direct
0.2500 0.5000 0.7500 Os
0.9953 0.9905 0.9819 Os
0.5047 0.0095 0.5181 Os
0.7500 0.5000 0.2500 Ta
```

=====

2.
Be3MoS | GGA-PBE | optimized geometry

Properties
The calculation puts the formation energy from raw total energies at 0.917 eV per atom.

```
Be3MoS
1.0
3.9778 0.0000 0.0000
0.0000 3.9778 0.0000
0.0000 0.0000 3.9778
Be S Mo
3 1 1
direct
0.0000 0.0000 0.5000 Be
0.0000 0.5000 0.0000 Be
0.5000 0.0000 0.0000 Be
0.0000 0.0000 0.0000 S
0.5000 0.5000 0.5000 Mo
```

=====

3.
Na2AcPd | GGA-PBE | optimized geometry

Properties
Its formation energy is 283.4 meV per atom.

```
Na2AcPd
1.0
3.5448 0.0000 0.0000
1.7724 3.0699 0.0000
1.7724 1.0233 11.5172
Ac Na Pd
1 2 1
direct
0.0000 0.0000 0.0000 Ac
0.1071 0.1071 0.6786 Na
0.8929 0.8929 0.3214 Na
0.5000 0.5000 0.5000 Pd
```

=====

4.
MgTlPd2Rh | GGA-PBE | optimized geometry

Properties
Its formation energy is 493.5 meV per atom.

```
MgTlPd2Rh
1.0
-2.4855 0.2411 -4.2634
-3.9554 -1.4370 2.2247
-1.1743 4.7043 0.9507
Pd Mg Tl Rh
2 1 1 1
direct
0.0000 0.0000 0.5000 Pd
0.5000 0.0000 0.0000 Pd
0.0000 0.5000 0.0000 Mg
0.5000 0.5000 0.5000 Tl
0.0000 0.0000 0.0000 Rh
```

=====

5.
SrMgScMn2 | GGA-PBE | optimized geometry

Properties
Its formation energy is 1116.1 meV per atom.

```
SrMgScMn2
1.0
5.0496 0.0000 0.0000
0.0000 5.5443 0.0000
0.0000 0.0000 5.0496
Mn Sc Sr Mg
2 1 1 1
direct
0.0000 0.0000 0.5000 Mn
0.5000 0.0000 0.0000 Mn
0.5000 0.5000 0.5000 Sc
0.0000 0.5000 0.0000 Sr
0.0000 0.0000 0.0000 Mg
```

=====

6.
Pm4Sm5Th2 | GGA-PBE | optimized geometry

Properties
Its formation energy is 267.4 meV per atom.

```
Pm4Sm5Th2
1.0
3.5213 0.0000 0.0000
0.0000 9.3406 0.0000
-1.7607 -4.6703 11.7397
Pm Sm Th
4 5 2
direct
0.4039 0.4039 0.8078 Pm
0.0000 0.2998 0.0000 Pm
0.0000 0.7002 0.0000 Pm
0.5961 0.5961 0.1922 Pm
0.5000 0.0000 0.0000 Sm
0.8519 0.0504 0.7038 Sm
0.1481 0.3466 0.2962 Sm
0.8519 0.6534 0.7038 Sm
0.1481 0.9496 0.2962 Sm
0.7309 0.7309 0.4619 Th
0.2691 0.2691 0.5381 Th
```

=====

7.
MgAu2F | GGA-PBE | optimized geometry

Properties
The calculation puts the formation energy from raw total energies at -0.731 eV per atom.

```
MgAu2F
1.0
7.4919 0.0000 0.0000
0.0000 7.4919 0.0000
3.7459 3.7459 2.5794
Mg Au F
2 4 2
direct
0.7500 0.2500 0.5000 Mg
0.0000 0.0000 0.0000 Mg
0.1428 0.6250 0.2500 Au
0.6072 0.1250 0.2500 Au
0.8750 0.8572 0.7500 Au
0.3750 0.3928 0.7500 Au
0.5000 0.5000 0.0000 F
0.2500 0.7500 0.5000 F
```

=====

8.
MgNbV3 | GGA-PBE | optimized geometry

Properties
Its formation energy is 1744.6 meV per atom.

```
MgNbV3
1.0
-1.5730 3.8796 1.5380
-4.1705 -1.4009 -0.7318
-0.1535 -1.6963 4.1219
V Nb Mg
3 1 1
direct
0.0000 0.0000 0.5000 V
0.5000 0.0000 0.0000 V
0.0000 0.5000 0.0000 V
0.5000 0.5000 0.5000 Nb
0.0000 0.0000 0.0000 Mg
```

=====

9.
Zr3C5 | GGA-PBE | optimized geometry

Properties
Its formation energy is 69.8 meV per atom.

```
Zr3C5
1.0
6.1089 0.0000 0.0000
-3.0544 5.2904 0.0000
0.0000 0.0000 6.1373
C Zr
10 6
direct
0.6667 0.3333 0.5000 C
0.1381 0.1381 0.7500 C
0.8619 0.0000 0.7500 C
0.8619 0.8619 0.2500 C
0.0000 0.8619 0.7500 C
0.3333 0.6667 0.5000 C
0.1381 0.0000 0.2500 C
0.3333 0.6667 0.0000 C
0.0000 0.1381 0.2500 C
0.6667 0.3333 0.0000 C
0.5702 0.0000 0.2500 Zr
0.4298 0.0000 0.7500 Zr
0.4298 0.4298 0.2500 Zr
0.0000 0.5702 0.2500 Zr
0.0000 0.4298 0.7500 Zr
0.5703 0.5702 0.7500 Zr
```

=====

10.
Zr2HgPt | GGA-PBE | optimized geometry

Properties
Its formation energy is -204.0 meV per atom.

```
Zr2HgPt
1.0
-2.8068 -3.5528 6.1288
6.5365 -3.8404 0.7672
2.9814 -1.4317 5.2723
Pt Zr Hg
2 4 2
direct
0.5000 0.5000 0.0000 Pt
0.2500 0.7500 0.5000 Pt
0.1614 0.6250 0.2500 Zr
0.3750 0.4114 0.7500 Zr
0.5886 0.1250 0.2500 Zr
0.8750 0.8386 0.7500 Zr
0.0000 0.0000 0.0000 Hg
0.7500 0.2500 0.5000 Hg
```

=====

11.
Rb4PmTm3Te8 | GGA-PBE | optimized geometry

Properties
The calculation puts the formation energy from raw total energies at -1.367 eV per atom.

```
Rb4PmTm3Te8
1.0
9.0375 0.0000 0.0000
0.0000 9.9973 0.6739
-4.5188 -4.5208 6.3901
Rb Tm Pm Te
4 3 1 8
direct
0.5000 0.0000 0.5000 Rb
0.0000 0.0000 0.0000 Rb
0.5000 0.0000 0.0000 Rb
0.0000 0.0000 0.5000 Rb
0.0000 0.5000 0.5000 Tm
0.5000 0.5000 0.0000 Tm
0.5000 0.5000 0.5000 Tm
0.0000 0.5000 0.0000 Pm
0.2371 0.6994 0.4742 Te
0.2679 0.3041 0.5359 Te
0.7255 0.6994 0.9626 Te
0.7629 0.3006 0.0374 Te
0.2371 0.6994 0.9626 Te
0.7321 0.6959 0.4641 Te
0.2745 0.3006 0.0374 Te
0.7629 0.3006 0.5258 Te
```

=====

12.
Tm8GaRu2 | GGA-PBE | optimized geometry

Properties
Its formation energy is -280.8 meV per atom.

```
Tm8GaRu2
1.0
-5.0640 0.4141 1.7926
-1.2399 -5.1547 -5.5832
3.1263 -3.1550 6.2891
Tm Ru Ga
8 2 1
direct
0.8052 0.6258 0.6258 Tm
0.4132 0.9364 0.6721 Tm
0.5853 0.3343 0.0699 Tm
0.5853 0.0699 0.3343 Tm
0.1941 0.3804 0.3804 Tm
0.9996 0.2425 0.7636 Tm
0.4132 0.6721 0.9364 Tm
0.9996 0.7636 0.2425 Tm
0.4995 0.3167 0.6894 Ru
0.4995 0.6894 0.3167 Ru
0.0052 0.0028 0.0028 Ga
```

=====

no.,density (g/cm³),magnetic moment (μB/f.u.)
1,20.43,0.00
2,4.09,0.00
3,5.03,0.24
4,7.78,0.83
5,3.13,7.20
6,7.72,0.00
7,10.03,0.00
8,5.05,0.00
9,5.59,0.00
10,10.61,0.00
11,5.53,0.00
12,9.45,0.00